Run P
Here is crystalline Ga2CuBr at its relaxed geometry from Alexandria via LeMat-Bulk. Energies are from GGA-PBE.

Unit cell a=5.682 b=5.682 c=13.734 alpha=90.00 beta=90.00 gamma=90.00
Space group I-42d (No. 122)
Asymmetric unit:
1 Ga 0.152 0.250 0.125
2 Cu 0.000 0.000 0.000
3 Br 0.000 0.000 0.500

***

Run Q
Here is crystalline Ga2CuBr at its relaxed geometry from Alexandria via LeMat-Bulk. Energies are from GGA-PBE.

Unit cell a=7.077 b=7.077 c=7.077 alpha=90.00 beta=90.00 gamma=90.00
Space group Fm-3m (No. 225)
Asymmetric unit:
1 Ga 0.250 0.250 0.250
2 Cu 0.000 0.000 0.000
3 Br 0.000 0.000 0.500

***

Out of the structures above, which one is the least stable? Solution: run Q.